Material: BeIrRu
Method: DFT, GGA-PBE
State: optimized geometry

As for the total magnetic moment: 0.00 μB per formula unit. The calculation puts the relative energy among the computed polymorphs at 0.00 kJ per mole of atoms. The value obtained for the formation enthalpy at 0 K is -0.267 eV per atom.

It has space group I4mm (No. 107), with a = 2.777 Å, b = 2.777 Å, c = 9.351 Å, α = 90.00°, β = 90.00° and γ = 90.00°. The inequivalent atoms are Be at (0.000, 0.000, 0.000), Ir at (0.000, 0.000, 0.352) and Ru at (0.000, 0.000, 0.652).